1.
Na3FeN2: relaxed, PBE.

CIF file:
```
data_Na3FeN2
_cell_length_a 5.5070
_cell_length_b 10.9549
_cell_length_c 5.1840
_cell_angle_alpha 90.00
_cell_angle_beta 90.00
_cell_angle_gamma 90.00
_symmetry_space_group_name_H-M 'I b a m'
_symmetry_Int_Tables_number 72
_symmetry_space_group_name_Hall '-I 2 2c'
loop_
_atom_site_label
_atom_site_type_symbol
_atom_site_fract_x
_atom_site_fract_y
_atom_site_fract_z
Na1 Na 0.0000 0.0000 0.2500
Na2 Na 0.0000 0.2432 0.2500
Fe1 Fe 0.0000 0.5000 0.2500
N1 N 0.1843 0.4028 0.0000
```

Calculated values
- Energy: -0.171 Ha/atom
- Crystal system: orthorhombic


2.
NaYNiSn: relaxed, PBE.

CIF file:
```
data_NaYNiSn
_cell_length_a 6.7592
_cell_length_b 6.7592
_cell_length_c 6.7592
_cell_angle_alpha 90.00
_cell_angle_beta 90.00
_cell_angle_gamma 90.00
_symmetry_space_group_name_H-M 'F -4 3 m'
_symmetry_Int_Tables_number 216
_symmetry_space_group_name_Hall 'F -4 2 3'
loop_
_atom_site_label
_atom_site_type_symbol
_atom_site_fract_x
_atom_site_fract_y
_atom_site_fract_z
Na1 Na 0.0000 0.0000 0.0000
Y1 Y 0.2500 0.2500 0.7500
Ni1 Ni 0.0000 0.0000 0.5000
Sn1 Sn 0.2500 0.2500 0.2500
```

Calculated values
- ΔE to the lowest computed polymorph: 0 meV per atom
- Energy: -0.170 Ha/atom
- Crystal system: cubic


3.
BeZn2Bi: relaxed, PBE.

CIF file:
```
data_BeZn2Bi
_cell_length_a 6.7088
_cell_length_b 6.7088
_cell_length_c 6.7088
_cell_angle_alpha 90.00
_cell_angle_beta 90.00
_cell_angle_gamma 90.00
_symmetry_space_group_name_H-M 'F -4 3 m'
_symmetry_Int_Tables_number 216
_symmetry_space_group_name_Hall 'F -4 2 3'
loop_
_atom_site_label
_atom_site_type_symbol
_atom_site_fract_x
_atom_site_fract_y
_atom_site_fract_z
Be1 Be 0.0000 0.0000 0.0000
Zn1 Zn 0.0000 0.0000 0.5000
Zn2 Zn 0.2500 0.2500 0.2500
Bi1 Bi 0.2500 0.2500 0.7500
```

Calculated values
- Energy: -0.076 Ha/atom
- Crystal system: cubic


4.
TcNiC: relaxed, PBE.

CIF file:
```
data_TcNiC
_cell_length_a 2.6333
_cell_length_b 2.6333
_cell_length_c 5.2876
_cell_angle_alpha 90.00
_cell_angle_beta 90.00
_cell_angle_gamma 90.00
_symmetry_space_group_name_H-M 'P 4/m m m'
_symmetry_Int_Tables_number 123
_symmetry_space_group_name_Hall '-P 4 2'
loop_
_atom_site_label
_atom_site_type_symbol
_atom_site_fract_x
_atom_site_fract_y
_atom_site_fract_z
Tc1 Tc 0.0000 0.0000 0.0000
Ni1 Ni 0.0000 0.0000 0.5000
C1 C 0.5000 0.5000 0.5000
```

Calculated values
- Energy: -0.258 Ha/atom
- Crystal system: tetragonal


5.
Cu5Ag4: relaxed, PBE.

CIF file:
```
data_Cu5Ag4
_cell_length_a 9.4517
_cell_length_b 2.8441
_cell_length_c 10.5226
_cell_angle_alpha 90.00
_cell_angle_beta 112.09
_cell_angle_gamma 90.00
_symmetry_space_group_name_H-M 'C 1 2/m 1'
_symmetry_Int_Tables_number 12
_symmetry_space_group_name_Hall '-C 2y'
loop_
_atom_site_label
_atom_site_type_symbol
_atom_site_fract_x
_atom_site_fract_y
_atom_site_fract_z
Cu1 Cu 0.0000 0.0000 0.0000
Cu2 Cu 0.1600 0.5000 0.9115
Cu3 Cu 0.1860 0.5000 0.1885
Ag1 Ag 0.0150 0.0000 0.3039
Ag2 Ag 0.1637 0.5000 0.5691
```

Calculated values
- ΔE to the lowest computed polymorph: 20 meV per atom
- Energy: -0.120 Ha/atom
- Crystal system: monoclinic


6.
TaFePd4: relaxed, PBE.

CIF file:
```
data_TaFePd4
_cell_length_a 2.7970
_cell_length_b 3.8492
_cell_length_c 8.2772
_cell_angle_alpha 90.00
_cell_angle_beta 90.00
_cell_angle_gamma 90.00
_symmetry_space_group_name_H-M 'P m m m'
_symmetry_Int_Tables_number 47
_symmetry_space_group_name_Hall '-P 2 2'
loop_
_atom_site_label
_atom_site_type_symbol
_atom_site_fract_x
_atom_site_fract_y
_atom_site_fract_z
Ta1 Ta 0.0000 0.0000 0.0000
Fe1 Fe 0.5000 0.5000 0.5000
Pd1 Pd 0.0000 0.0000 0.3407
Pd2 Pd 0.5000 0.5000 0.1702
```

Calculated values
- Energy: -0.260 Ha/atom
- Crystal system: orthorhombic


7.
ZnCuPtPb: relaxed, PBE.

CIF file:
```
data_ZnCuPtPb
_cell_length_a 6.5348
_cell_length_b 6.5348
_cell_length_c 6.5348
_cell_angle_alpha 90.00
_cell_angle_beta 90.00
_cell_angle_gamma 90.00
_symmetry_space_group_name_H-M 'F -4 3 m'
_symmetry_Int_Tables_number 216
_symmetry_space_group_name_Hall 'F -4 2 3'
loop_
_atom_site_label
_atom_site_type_symbol
_atom_site_fract_x
_atom_site_fract_y
_atom_site_fract_z
Zn1 Zn 0.0000 0.0000 0.0000
Cu1 Cu 0.2500 0.2500 0.7500
Pt1 Pt 0.2500 0.2500 0.2500
Pb1 Pb 0.0000 0.0000 0.5000
```

Calculated values
- ΔE to the lowest computed polymorph: 0 meV per atom
- Energy: -0.135 Ha/atom
- Crystal system: cubic


8.
KTeOsO: relaxed, PBE.

CIF file:
```
data_KTeOsO
_cell_length_a 4.3481
_cell_length_b 7.4169
_cell_length_c 6.9391
_cell_angle_alpha 90.00
_cell_angle_beta 90.00
_cell_angle_gamma 90.00
_symmetry_space_group_name_H-M 'P m c 21'
_symmetry_Int_Tables_number 26
_symmetry_space_group_name_Hall 'P 2c -2'
loop_
_atom_site_label
_atom_site_type_symbol
_atom_site_fract_x
_atom_site_fract_y
_atom_site_fract_z
K1 K 0.0000 0.2244 0.0000
Te1 Te 0.0000 0.2553 0.4871
Os1 Os 0.5000 0.4280 0.3944
O1 O 0.5000 0.4295 0.1214
```

Calculated values
- ΔE to the lowest computed polymorph: 0 meV per atom
- Energy: -0.203 Ha/atom
- Crystal system: orthorhombic


9.
Lu4InFeN2: relaxed, PBE.

CIF file:
```
data_Lu4InFeN2
_cell_length_a 3.3649
_cell_length_b 3.3649
_cell_length_c 14.5952
_cell_angle_alpha 90.00
_cell_angle_beta 90.00
_cell_angle_gamma 120.00
_symmetry_space_group_name_H-M 'P -6 m 2'
_symmetry_Int_Tables_number 187
_symmetry_space_group_name_Hall 'P -6 2'
loop_
_atom_site_label
_atom_site_type_symbol
_atom_site_fract_x
_atom_site_fract_y
_atom_site_fract_z
Lu1 Lu 0.0000 0.0000 0.1333
Lu2 Lu 0.6667 0.3333 0.3193
In1 In 0.0000 0.0000 0.5000
Fe1 Fe 0.6667 0.3333 0.0000
N1 N 0.3333 0.6667 0.2397
```

Calculated values
- Energy: -0.242 Ha/atom
- Crystal system: hexagonal


10.
Nb4W3: relaxed, PBE.

CIF file:
```
data_Nb4W3
_cell_length_a 7.9560
_cell_length_b 4.5929
_cell_length_c 7.0738
_cell_angle_alpha 90.00
_cell_angle_beta 111.90
_cell_angle_gamma 90.00
_symmetry_space_group_name_H-M 'C 1 2/m 1'
_symmetry_Int_Tables_number 12
_symmetry_space_group_name_Hall '-C 2y'
loop_
_atom_site_label
_atom_site_type_symbol
_atom_site_fract_x
_atom_site_fract_y
_atom_site_fract_z
Nb1 Nb 0.0705 0.0000 0.2114
Nb2 Nb 0.2150 0.0000 0.6447
W1 W 0.0000 0.5000 0.5000
W2 W 0.1425 0.5000 0.9276
```

Calculated values
- Energy: -0.418 Ha/atom
- Crystal system: monoclinic


11.
YMgCuBi: relaxed, PBE.

CIF file:
```
data_YMgCuBi
_cell_length_a 7.2322
_cell_length_b 7.2322
_cell_length_c 7.2322
_cell_angle_alpha 90.00
_cell_angle_beta 90.00
_cell_angle_gamma 90.00
_symmetry_space_group_name_H-M 'F -4 3 m'
_symmetry_Int_Tables_number 216
_symmetry_space_group_name_Hall 'F -4 2 3'
loop_
_atom_site_label
_atom_site_type_symbol
_atom_site_fract_x
_atom_site_fract_y
_atom_site_fract_z
Y1 Y 0.0000 0.0000 0.0000
Mg1 Mg 0.2500 0.2500 0.2500
Cu1 Cu 0.0000 0.0000 0.5000
Bi1 Bi 0.2500 0.2500 0.7500
```

Calculated values
- ΔE to the lowest computed polymorph: 58 meV per atom
- Energy: -0.144 Ha/atom
- Crystal system: cubic


12.
NbTlFeSe3: relaxed, PBE.

CIF file:
```
data_NbTlFeSe3
_cell_length_a 8.4941
_cell_length_b 3.5746
_cell_length_c 9.9618
_cell_angle_alpha 90.00
_cell_angle_beta 112.35
_cell_angle_gamma 90.00
_symmetry_space_group_name_H-M 'P 1 21/m 1'
_symmetry_Int_Tables_number 11
_symmetry_space_group_name_Hall '-P 2yb'
loop_
_atom_site_label
_atom_site_type_symbol
_atom_site_fract_x
_atom_site_fract_y
_atom_site_fract_z
Nb1 Nb 0.0302 0.2500 0.3172
Tl1 Tl 0.4867 0.7500 0.7839
Fe1 Fe 0.0245 0.7500 0.1051
Se1 Se 0.1661 0.2500 0.6152
Se2 Se 0.1890 0.7500 0.9485
Se3 Se 0.2606 0.7500 0.3371
```

Calculated values
- Energy: -0.213 Ha/atom
- Crystal system: monoclinic